(1)
The following is a PBE-GGA calculation of a geometry-optimized PrDyZnNi structure, from Alexandria.

Cell and atoms, written as extended XYZ:
```
4
Lattice="-1.673 -0.842 -4.660 -4.455 -2.207 -0.708 -3.861 2.659 -1.801" Properties=species:S:1:pos:R:3 pbc="T T T"
Dy -2.497 -0.098 -1.792
Ni -4.995 -0.195 -3.584
Zn 0.000 0.000 0.000
Pr -7.492 -0.293 -5.376
```

Results
Total energy ... -4.377 eV/atom
Symmetry ... No. 216
M_tot ... 0.0 μB per cell
Formation enthalpy at 0 K ... -0.27 eV per atom

(2)
The following is a PBE-GGA calculation of a geometry-optimized Dy4Ni3Pt structure, from Alexandria.

Cell and atoms, written as extended XYZ:
```
8
Lattice="-1.105 -3.559 -0.060 2.021 -0.564 -3.775 8.511 -2.727 4.965" Properties=species:S:1:pos:R:3 pbc="T T T"
Ni 5.882 -1.843 0.954
Ni 7.250 -4.279 4.521
Ni 3.663 -1.173 2.137
Pt 1.132 -2.278 -1.525
Dy 3.574 -3.060 -0.100
Dy 8.295 -2.616 2.361
Dy 4.878 -3.519 3.138
Dy 1.206 -0.386 0.703
```

Results
Total energy ... -5.887 eV/atom
Symmetry ... No. 25
M_tot ... 0.0 μB per cell
Formation enthalpy at 0 K ... -0.66 eV per atom

(3)
The following is a PBE-GGA calculation of a geometry-optimized Dy2Ni2Pt structure, from Alexandria.

Cell and atoms, written as extended XYZ:
```
10
Lattice="-0.017 -4.003 3.414 4.516 -1.520 2.231 -0.154 3.607 6.978" Properties=species:S:1:pos:R:3 pbc="T T T"
Ni -0.077 0.734 4.417
Ni 1.210 -0.407 0.612
Ni 3.134 -1.508 12.011
Ni 4.421 -2.649 8.206
Dy 2.231 -2.669 6.271
Dy 2.113 0.754 6.352
Dy 3.423 -0.171 9.429
Dy 0.921 -1.744 3.194
Pt 0.702 -0.840 8.430
Pt 3.642 -1.075 4.193
```

Results
Polymorph energy (0 for the lowest one) ... 0.0000 eV/atom
Total energy ... -6.079 eV/atom
Symmetry ... No. 15
M_tot ... 0.0 μB per cell
Formation enthalpy at 0 K ... -0.72 eV per atom

(4)
The following is a PBE-GGA calculation of a geometry-optimized Dy2Ni5Pt5 structure, from Alexandria.

Cell and atoms, written as extended XYZ:
```
12
Lattice="-0.272 -4.053 1.285 1.993 -1.520 -4.371 8.246 0.576 3.559" Properties=species:S:1:pos:R:3 pbc="T T T"
Pt 6.479 -0.377 0.181
Pt 6.766 0.473 2.920
Pt 1.480 0.103 0.639
Pt 3.760 -0.567 -0.993
Pt -0.136 -2.026 0.643
Dy 0.996 -0.760 -2.186
Dy 4.123 0.288 1.780
Ni 4.984 -2.499 0.237
Ni 3.480 -3.016 -1.713
Ni 2.489 -2.260 0.461
Ni 7.478 -2.737 0.012
Ni 6.487 -1.981 2.186
```

Results
Total energy ... -6.275 eV/atom
Symmetry ... No. 47
M_tot ... 2.1 μB per cell
Formation enthalpy at 0 K ... -0.58 eV per atom

(5)
The following is a PBE-GGA calculation of a geometry-optimized Dy8Ni2Pt structure, from Alexandria.

Cell and atoms, written as extended XYZ:
```
11
Lattice="5.829 0.101 -0.951 -1.883 6.679 -2.874 -0.069 -0.170 7.509" Properties=species:S:1:pos:R:3 pbc="T T T"
Dy 2.720 2.345 -0.920
Dy 0.273 2.415 1.545
Dy 3.195 0.552 1.798
Dy 4.262 5.306 -1.545
Dy 0.920 4.304 4.662
Dy 5.287 1.435 4.324
Dy 3.456 4.233 2.189
Dy 0.447 6.089 1.955
Pt 0.853 0.040 -0.122
Ni 2.217 2.004 3.878
Ni 1.515 4.653 -0.139
```

Results
Polymorph energy (0 for the lowest one) ... 0.0930 eV/atom
Total energy ... -5.239 eV/atom
Symmetry ... No. 8
M_tot ... 0.0 μB per cell
Formation enthalpy at 0 K ... -0.29 eV per atom

(6)
The following is a PBE-GGA calculation of a geometry-optimized Dy12Ni6Pt structure, from Alexandria.

Cell and atoms, written as extended XYZ:
```
19
Lattice="-0.581 -2.591 7.573 2.750 -6.706 -3.445 6.891 4.075 0.561" Properties=species:S:1:pos:R:3 pbc="T T T"
Dy 4.094 -4.330 4.407
Dy 4.965 -0.892 0.282
Dy 2.498 -7.598 1.993
Dy 8.071 -0.954 -1.374
Dy 6.561 2.376 2.697
Dy 4.800 -5.226 -2.368
Dy 6.064 -4.195 0.752
Dy 6.474 -1.062 3.450
Dy 2.995 -1.027 3.937
Dy 0.988 -4.268 6.063
Dy 4.259 0.004 7.057
Dy 2.585 -4.160 1.239
Ni 4.404 0.792 2.286
Ni 5.269 -2.058 5.623
Ni 7.634 -2.049 1.062
Ni 3.790 -3.164 -0.934
Ni 4.655 -6.014 2.403
Ni 1.425 -3.173 3.627
Pt 0.000 0.000 0.000
```

Results
Polymorph energy (0 for the lowest one) ... 0.1157 eV/atom
Total energy ... -5.332 eV/atom
Symmetry ... No. 148
M_tot ... 0.0 μB per cell
Formation enthalpy at 0 K ... -0.28 eV per atom